No. 1
A plane-wave DFT calculation with GGA-PBE was carried out for a geometry-optimized Tl3GeRu structure.

Calculated values
E_form = 600.0 meV/atom
Crystal system = cubic

a = 5.2832 Å, b = 5.2832 Å, c = 5.2832 Å
α = 90.00°, β = 90.00°, γ = 90.00°
Positions (direct):
Ge: 0.5000 0.5000 0.5000
Tl: 0.0000 0.5000 0.0000
Tl: 0.0000 0.0000 0.5000
Tl: 0.5000 0.0000 0.0000
Ru: 0.0000 0.0000 0.0000

***

No. 2
A plane-wave DFT calculation with GGA-PBE was carried out for a geometry-optimized Tm3Ge4Ru2 structure.

Calculated values
E_form = -746.6 meV/atom
Crystal system = monoclinic

a = 4.3400 Å, b = 5.7117 Å, c = 8.0945 Å
α = 108.40°, β = 90.00°, γ = 112.33°
Positions (direct):
Tm: 0.3751 0.7503 0.3044
Ru: 0.6788 0.3577 0.3593
Ge: 0.9097 0.8195 0.5969
Tm: 0.6249 0.2497 0.6956
Ge: 0.7134 0.4269 0.0770
Ge: 0.2866 0.5731 0.9230
Tm: 0.0000 0.0000 0.0000
Ru: 0.3212 0.6423 0.6407
Ge: 0.0903 0.1805 0.4031

***

No. 3
A plane-wave DFT calculation with GGA-PBE was carried out for a geometry-optimized TmGeRu2 structure.

Calculated values
E_form = -372.7 meV/atom
Crystal system = tetragonal

a = 3.2041 Å, b = 3.2041 Å, c = 6.3774 Å
α = 90.00°, β = 90.00°, γ = 90.00°
Positions (direct):
Ru: 0.0000 0.0000 0.7821
Ru: 0.0000 0.0000 0.2179
Tm: 0.5000 0.5000 0.5000
Ge: 0.5000 0.5000 0.0000

***

no.,N(E_F) (states/eV/atom),calculated volume (Å³/f.u.)
1,0.7184,147.5
2,0.4743,174.5
3,0.8491,65.5